# PBE K3ZrSc2Te6, optimized geometry
# Calculated density ... 4.53 g/cm3
# E_tot ... -4.760 eV per atom
data_K3ZrSc2Te6
_cell_length_a 7.3841
_cell_length_b 12.7889
_cell_length_c 8.6232
_cell_angle_alpha 90.00
_cell_angle_beta 106.59
_cell_angle_gamma 90.00
_symmetry_space_group_name_H-M 'C 1 2/m 1'
_symmetry_Int_Tables_number 12
loop_
_symmetry_equiv_pos_as_xyz
'x,y,z'
'-x,-y,-z'
'-x,y,-z'
'x,-y,z'
'x+1/2,y+1/2,z'
'-x+1/2,-y+1/2,-z'
'-x+1/2,y+1/2,-z'
'x+1/2,-y+1/2,z'
loop_
_atom_site_label
_atom_site_fract_x
_atom_site_fract_y
_atom_site_fract_z
K1 0.0000 0.0000 0.0000
K2 0.0000 0.3332 0.0000
Zr1 0.0000 0.5000 0.5000
Sc1 0.0000 0.1667 0.5000
Te1 0.2334 0.3336 0.7010
Te2 0.2343 0.0000 0.7011



# PBE CaLa9Sn2, optimized geometry
# Calculated density ... 6.25 g/cm3
# E_tot ... -4.818 eV per atom
# Energy relative to the elements ... -0.288 eV/atom
data_CaLa9Sn2
_cell_length_a 5.0938
_cell_length_b 5.0938
_cell_length_c 15.6358
_cell_angle_alpha 90.00
_cell_angle_beta 90.00
_cell_angle_gamma 90.00
_symmetry_space_group_name_H-M 'P 4/m m m'
_symmetry_Int_Tables_number 123
_symmetry_space_group_name_Hall '-P 4 2'
loop_
_atom_site_label
_atom_site_fract_x
_atom_site_fract_y
_atom_site_fract_z
Ca1 0.0000 0.0000 0.0000
La1 0.0000 0.5000 0.1825
La2 0.0000 0.5000 0.5000
La3 0.5000 0.5000 0.0000
La4 0.5000 0.5000 0.3398
Sn1 0.0000 0.0000 0.3401



# PBE ReBiC3, optimized geometry
# Energy relative to the lowest polymorph listed for this composition ... 0 kJ/mol of formula units
# Calculated density ... 10.36 g/cm3
# E_tot ... -7.097 eV per atom
# Energy relative to the elements ... 1.703 eV/atom
data_ReBiC3
_cell_length_a 4.1045
_cell_length_b 4.1045
_cell_length_c 4.1045
_cell_angle_alpha 90.00
_cell_angle_beta 90.00
_cell_angle_gamma 90.00
_symmetry_space_group_name_H-M 'P m -3 m'
_symmetry_Int_Tables_number 221
_symmetry_space_group_name_Hall '-P 4 2 3'
loop_
_atom_site_label
_atom_site_fract_x
_atom_site_fract_y
_atom_site_fract_z
Re1 0.0000 0.0000 0.0000
Bi1 0.5000 0.5000 0.5000
C1 0.0000 0.0000 0.5000



# PBE LiCaNi2, optimized geometry
# Energy relative to the lowest polymorph listed for this composition ... 22 kJ/mol of formula units
# Calculated density ... 3.78 g/cm3
# E_tot ... -3.860 eV per atom
# Energy relative to the elements ... 0.009 eV/atom
data_LiCaNi2
_cell_length_a 4.1270
_cell_length_b 4.1270
_cell_length_c 14.6719
_cell_angle_alpha 90.00
_cell_angle_beta 90.00
_cell_angle_gamma 120.00
_symmetry_space_group_name_H-M 'R -3 m'
_symmetry_Int_Tables_number 166
_symmetry_space_group_name_Hall '-R 3 2"'
loop_
_atom_site_label
_atom_site_fract_x
_atom_site_fract_y
_atom_site_fract_z
Li1 0.0000 0.0000 0.0000
Ca1 0.0000 0.0000 0.5000
Ni1 0.0000 0.0000 0.3137